Compound: Zn3SbAs
Source: Alexandria via LeMat-Bulk
Functional: GGA-PBE
Structure: relaxed

It has space group C2/c (No. 15), with a = 11.777 Å, b = 6.792 Å, c = 11.769 Å, α = 90.00°, β = 108.39° and γ = 90.00°. The inequivalent atoms are Zn at (0.056, 0.183, 0.058), Zn at (0.164, 0.487, 0.822), Zn at (0.181, 0.015, 0.336), Sb at (0.135, 0.226, 0.637), As at (0.000, 0.256, 0.250) and As at (0.250, 0.250, 0.000).

As for the total magnetization: 0.000 μB/f.u. For the volume, the calculation gives 22.33 A^3/atom. The calculation puts the energy relative to the elements, uncorrected at 0.047 eV/atom. The value obtained for the total energy is -2.472 eV/atom.

***

Compound: Zr2ZnSbAs
Source: Alexandria via LeMat-Bulk
Functional: GGA-PBE
Structure: relaxed

It has space group P4/mmm (No. 123), with a = 5.361 Å, b = 5.361 Å, c = 5.223 Å, α = 90.00°, β = 90.00° and γ = 90.00°. The inequivalent atoms are Zr at (0.000, 0.500, 0.000), Zn at (0.000, 0.000, 0.500), Sb at (0.500, 0.500, 0.000) and As at (0.500, 0.500, 0.500).

As for the total magnetization: 0.000 μB/f.u. For the volume, the calculation gives 30.02 A^3/atom. The calculation puts the energy relative to the elements, uncorrected at 0.880 eV/atom. The value obtained for the total energy is -4.548 eV/atom.

***

Compound: Zr4SbAs
Source: Alexandria via LeMat-Bulk
Functional: GGA-PBE
Structure: relaxed

It has space group C2/c (No. 15), with a = 8.765 Å, b = 12.163 Å, c = 6.550 Å, α = 90.00°, β = 129.84° and γ = 90.00°. The inequivalent atoms are Zr at (0.143, 0.181, 0.189), Zr at (0.187, 0.441, 0.265), Sb at (0.000, 0.343, 0.750) and As at (0.000, 0.027, 0.750).

As for the total magnetization: 0.000 μB/f.u. For the volume, the calculation gives 22.34 A^3/atom. The calculation puts the energy relative to the elements, uncorrected at -0.585 eV/atom. The value obtained for the total energy is -7.746 eV/atom.

***

Compound: ZrSb2As2
Source: Alexandria via LeMat-Bulk
Functional: GGA-PBE
Structure: relaxed

It has space group P4/mbm (No. 127), with a = 7.643 Å, b = 7.643 Å, c = 4.084 Å, α = 90.00°, β = 90.00° and γ = 90.00°. The inequivalent atoms are Zr at (0.000, 0.000, 0.000), Sb at (0.172, 0.328, 0.500) and As at (0.162, 0.662, 0.000).

As for the total magnetization: 0.000 μB/f.u. For the volume, the calculation gives 23.85 A^3/atom. The calculation puts the energy relative to the elements, uncorrected at -0.152 eV/atom. The value obtained for the total energy is -5.370 eV/atom.